# 1
A plane-wave DFT calculation with PBE was carried out for TaSi2Cl after structural relaxation.

a b c (Å): 6.156 6.156 6.936
angles (deg): 63.65 63.65 90.00
Fractional coordinates of all 8 atoms:
Ta 0.000 0.000 0.000
Ta 0.750 0.250 0.500
Cl 0.500 0.500 0.000
Cl 0.250 0.750 0.500
Si 0.375 0.351 0.750
Si 0.649 0.125 0.250
Si 0.875 0.899 0.750
Si 0.101 0.625 0.250

- Symmetry: No. 122
- Total magnetic moment: 0.00 Bohr magnetons per cell
- Density of states at the Fermi level: 0.4908 states/eV/atom
- Formation energy without anion corrections: 0.861 eV per atom
- Calculated total energy: -5.275 eV per atom

***

# 2
A plane-wave DFT calculation with PBE was carried out for TaSi2Cl after structural relaxation.

a b c (Å): 2.963 4.333 6.511
angles (deg): 49.27 90.00 90.00
Fractional coordinates of all 4 atoms:
Ta 0.500 0.500 0.500
Si 0.000 0.000 0.000
Si 0.500 0.500 0.000
Cl 0.000 0.000 0.500

- Symmetry: No. 10
- Total magnetic moment: 0.00 Bohr magnetons per cell
- Density of states at the Fermi level: 0.5871 states/eV/atom
- Formation energy without anion corrections: 0.448 eV per atom
- Calculated total energy: -5.689 eV per atom